Here is a relaxed structure of Ca3Tb3ErTe8 from Alexandria. Energies are from PBE.

```
Ca3Tb3ErTe8
1.0
8.7649 0.0000 0.0000
-4.3824 7.5915 -0.0271
0.0000 -5.0346 7.3637
Te Tb Ca Er
8 3 3 1
direct
0.2486 0.4972 0.7442 Te
0.7518 0.0045 0.2564 Te
0.7473 0.9955 0.7436 Te
0.2513 0.5027 0.2540 Te
0.7514 0.5028 0.2558 Te
0.7487 0.4973 0.7460 Te
0.2527 0.0045 0.2564 Te
0.2482 0.9955 0.7436 Te
0.5000 0.0000 0.5000 Tb
0.0000 0.5000 0.5000 Tb
0.5000 0.5000 0.5000 Tb
0.0000 0.0000 0.0000 Ca
0.0000 0.5000 0.0000 Ca
0.5000 0.5000 0.0000 Ca
0.0000 0.0000 0.5000 Er
```

E_tot = -4.79 eV per atom
Formation energy from raw total energies = -1.488 eV/atom

Here is a relaxed structure of CaTb2Er3Te6 from Alexandria. Energies are from PBE.

```
CaTb2Er3Te6
1.0
-4.0404 -1.5846 -0.4071
2.3143 -7.0784 4.5829
-1.0365 6.8744 6.8674
Tb Te Er Ca
2 6 3 1
direct
0.8275 0.6557 0.6551 Tb
0.1725 0.3443 0.3449 Tb
0.6629 0.5848 0.3258 Te
0.9990 0.7460 0.9979 Te
0.0010 0.2540 0.0021 Te
0.6680 0.0800 0.3360 Te
0.3320 0.9200 0.6640 Te
0.3371 0.4152 0.6742 Te
0.5000 0.5000 0.0000 Er
0.8328 0.1747 0.6657 Er
0.1672 0.8253 0.3343 Er
0.5000 0.0000 0.0000 Ca
```

E_tot = -4.97 eV per atom
Formation energy from raw total energies = -1.317 eV/atom